AgHg5Pd8: optimized geometry, PBE-GGA.

Cell lengths 6.984, 6.984, 6.984 Å; angles 109.81, 109.81, 108.79 degrees
Element x y z (fractional)
1 Ag 0.000 0.000 0.000
2 Hg 0.080 0.229 0.601
3 Hg 0.250 0.750 0.500
4 Hg 0.522 0.920 0.150
5 Hg 0.628 0.478 0.399
6 Hg 0.771 0.372 0.850
7 Pd 0.075 0.652 0.769
8 Pd 0.249 0.483 0.093
9 Pd 0.348 0.117 0.423
10 Pd 0.390 0.156 0.907
11 Pd 0.517 0.610 0.765
12 Pd 0.694 0.925 0.577
13 Pd 0.844 0.751 0.235
14 Pd 0.883 0.306 0.231

Computed properties:
density of states at the Fermi level: 5.43 states/eV/f.u.
spin magnetization: 0.0 μB per formula unit
calculated formation energy: -1.1 kJ per mole of atoms